# CrCu4Os, relaxed, DFT PBE-GGA
# Crystal system   cubic
# V   301 Å³/cell
# N(E_F)   6.0 states/eV/f.u.
# Total energy   -5.868 eV/atom
data_CrCu4Os
_chemical_formula_sum 'Cr4 Cu16 Os4'
_space_group_name_H-M_alt 'F -4 3 m'
_space_group_IT_number 216
_space_group_name_Hall 'F -4 2 3'
_cell_length_a 6.701
_cell_length_b 6.701
_cell_length_c 6.701
_cell_angle_alpha 90.00
_cell_angle_beta 90.00
_cell_angle_gamma 90.00
loop_
_atom_site_label
_atom_site_type_symbol
_atom_site_fract_x
_atom_site_fract_y
_atom_site_fract_z
_atom_site_occupancy
Cr1 Cr 0.000 0.000 0.000 1
Cu1 Cu 0.125 0.125 0.625 1
Os1 Os 0.250 0.250 0.250 1


# CrCu2Os, relaxed, DFT PBE-GGA
# Crystal system   trigonal
# V   154 Å³/cell
# N(E_F)   3.9 states/eV/f.u.
# Total energy   -6.892 eV/atom
data_CrCu2Os
_chemical_formula_sum 'Cr3 Cu6 Os3'
_space_group_name_H-M_alt 'R -3 m'
_space_group_IT_number 166
_space_group_name_Hall '-R 3 2"'
_cell_length_a 2.6064
_cell_length_b 2.6064
_cell_length_c 26.1676
_cell_angle_alpha 90.00
_cell_angle_beta 90.00
_cell_angle_gamma 120.00
loop_
_atom_site_label
_atom_site_type_symbol
_atom_site_fract_x
_atom_site_fract_y
_atom_site_fract_z
_atom_site_occupancy
Cr1 Cr 0.0000 0.0000 0.0000 1
Cu1 Cu 0.0000 0.0000 0.2523 1
Os1 Os 0.0000 0.0000 0.5000 1


# CrCu2Os, relaxed, DFT PBE-GGA
# Crystal system   orthorhombic
# V   51 Å³/cell
# N(E_F)   3.0 states/eV/f.u.
# Total energy   -6.899 eV/atom
data_CrCu2Os
_chemical_formula_sum 'Cr1 Cu2 Os1'
_space_group_name_H-M_alt 'P m m m'
_space_group_IT_number 47
_cell_length_a 2.549
_cell_length_b 4.027
_cell_length_c 4.937
_cell_angle_alpha 90.00
_cell_angle_beta 90.00
_cell_angle_gamma 90.00
loop_
_space_group_symop_operation_xyz
'x,y,z'
'-x,-y,-z'
'-x,-y,z'
'x,y,-z'
'x,-y,-z'
'-x,y,z'
'-x,y,-z'
'x,-y,z'
loop_
_atom_site_label
_atom_site_type_symbol
_atom_site_fract_x
_atom_site_fract_y
_atom_site_fract_z
_atom_site_occupancy
Cr1 Cr 0.000 0.000 0.000 1
Cu1 Cu 0.500 0.500 0.247 1
Os1 Os 0.000 0.000 0.500 1


# CrCu2Os, relaxed, DFT PBE-GGA
# Crystal system   orthorhombic
# V   101 Å³/cell
# N(E_F)   3.6 states/eV/f.u.
# Total energy   -6.884 eV/atom
data_CrCu2Os
_chemical_formula_sum 'Cr2 Cu4 Os2'
_space_group_name_H-M_alt 'C m m m'
_space_group_IT_number 65
_space_group_name_Hall '-C 2 2'
_cell_length_a 4.917
_cell_length_b 8.029
_cell_length_c 2.567
_cell_angle_alpha 90.00
_cell_angle_beta 90.00
_cell_angle_gamma 90.00
loop_
_atom_site_label
_atom_site_type_symbol
_atom_site_fract_x
_atom_site_fract_y
_atom_site_fract_z
_atom_site_occupancy
Cr1 Cr 0.000 0.000 0.000 1
Cu1 Cu 0.250 0.250 0.500 1
Os1 Os 0.000 0.500 0.000 1


# CrCu2Os, relaxed, DFT PBE-GGA
# Crystal system   monoclinic
# V   102 Å³/cell
# N(E_F)   3.7 states/eV/f.u.
# Total energy   -6.977 eV/atom
data_CrCu2Os
_chemical_formula_sum 'Cr2 Cu4 Os2'
_space_group_name_H-M_alt 'C 1 m 1'
_space_group_IT_number 8
_cell_length_a 8.551
_cell_length_b 2.604
_cell_length_c 4.621
_cell_angle_alpha 90.00
_cell_angle_beta 98.36
_cell_angle_gamma 90.00
loop_
_space_group_symop_operation_xyz
'x,y,z'
'x,-y,z'
'x+1/2,y+1/2,z'
'x+1/2,-y+1/2,z'
loop_
_atom_site_label
_atom_site_type_symbol
_atom_site_fract_x
_atom_site_fract_y
_atom_site_fract_z
_atom_site_occupancy
Cr1 Cr 0.000 0.000 0.000 1
Cu1 Cu 0.250 0.500 0.291 1
Cu2 Cu 0.498 0.000 0.499 1
Os1 Os 0.248 0.000 0.794 1


# CrCuOs3, relaxed, DFT PBE-GGA
# Crystal system   cubic
# ΔE to the lowest computed polymorph   0.0000 eV/atom
# V   87 Å³/cell
# N(E_F)   5.1 states/eV/f.u.
# Total energy   -7.640 eV/atom
data_CrCuOs3
_chemical_formula_sum 'Cr1 Cu1 Os3'
_space_group_name_H-M_alt 'P m -3 m'
_space_group_IT_number 221
_space_group_name_Hall '-P 4 2 3'
_cell_length_a 4.427
_cell_length_b 4.427
_cell_length_c 4.427
_cell_angle_alpha 90.00
_cell_angle_beta 90.00
_cell_angle_gamma 90.00
loop_
_atom_site_label
_atom_site_type_symbol
_atom_site_fract_x
_atom_site_fract_y
_atom_site_fract_z
_atom_site_occupancy
Cr1 Cr 0.000 0.000 0.000 1
Cu1 Cu 0.500 0.500 0.500 1
Os1 Os 0.000 0.000 0.500 1